An optimized crystal structure of Ca3Ag, computed with PBE.

Output
Space group   Pm-3m
VASP energy   -2.09 eV per atom
ΔE to the lowest computed polymorph   0.323 eV per atom
ΔH_f (0 K)   0.13 eV/atom
Calculated density   1.9 g cm⁻³

Cell: 5.878 5.878 5.878 Å, 90.00 90.00 90.00°
Fractional coordinates of all 4 atoms:
Ca: 0.000 0.000 0.500
Ca: 0.000 0.500 0.000
Ca: 0.500 0.000 0.000
Ag: 0.000 0.000 0.000

=====

An optimized crystal structure of CaAg, computed with PBE.

Output
Space group   Pm-3n
VASP energy   -2.09 eV per atom
ΔH_f (0 K)   0.34 eV/atom
Calculated density   2.5 g cm⁻³

Cell: 8.426 8.426 8.426 Å, 90.00 90.00 90.00°
Fractional coordinates of all 12 atoms:
Ca: 0.000 0.250 0.500
Ca: 0.000 0.750 0.500
Ca: 0.250 0.500 0.000
Ca: 0.500 0.000 0.250
Ca: 0.500 0.000 0.750
Ca: 0.750 0.500 0.000
Ag: 0.000 0.500 0.250
Ag: 0.000 0.500 0.750
Ag: 0.250 0.000 0.500
Ag: 0.500 0.250 0.000
Ag: 0.500 0.750 0.000
Ag: 0.750 0.000 0.500

=====

An optimized crystal structure of CaAg2, computed with PBE.

Output
Space group   I4_1/amd
VASP energy   -2.78 eV per atom
ΔH_f (0 K)   -0.21 eV/atom
Calculated density   5.6 g cm⁻³

Cell: 4.114 4.114 17.934 Å, 90.00 90.00 90.00°
Fractional coordinates of all 12 atoms:
Ca: 0.000 0.250 0.375
Ca: 0.000 0.750 0.625
Ca: 0.500 0.250 0.125
Ca: 0.500 0.750 0.875
Ag: 0.000 0.250 0.799
Ag: 0.000 0.250 0.951
Ag: 0.000 0.750 0.049
Ag: 0.000 0.750 0.201
Ag: 0.500 0.250 0.549
Ag: 0.500 0.250 0.701
Ag: 0.500 0.750 0.299
Ag: 0.500 0.750 0.451

=====

An optimized crystal structure of CaAg2, computed with PBE.

Output
Space group   P4/mmm
VASP energy   -2.64 eV per atom
ΔH_f (0 K)   -0.07 eV/atom
Calculated density   5.5 g cm⁻³

Cell: 3.948 3.948 4.980 Å, 90.00 90.00 90.00°
Fractional coordinates of all 3 atoms:
Ca: 0.000 0.000 0.000
Ag: 0.000 0.500 0.500
Ag: 0.500 0.000 0.500

=====

An optimized crystal structure of Ca2Ag, computed with PBE.

Output
Space group   C2/m
VASP energy   -2.48 eV per atom
ΔH_f (0 K)   -0.20 eV/atom
Calculated density   3.2 g cm⁻³

Cell: 14.760 3.913 7.347 Å, 90.00 112.71 90.00°
Fractional coordinates of all 12 atoms:
Ca: 0.022 0.000 0.268
Ca: 0.214 0.500 0.734
Ca: 0.286 0.000 0.266
Ca: 0.478 0.500 0.732
Ca: 0.522 0.500 0.268
Ca: 0.714 0.000 0.734
Ca: 0.786 0.500 0.266
Ca: 0.978 0.000 0.732
Ag: 0.113 0.500 0.054
Ag: 0.387 0.000 0.946
Ag: 0.613 0.000 0.054
Ag: 0.887 0.500 0.946

=====

An optimized crystal structure of Ca2Ag, computed with PBE.

Output
Space group   Fd-3m
VASP energy   -1.84 eV per atom
ΔH_f (0 K)   0.44 eV/atom
Calculated density   3.0 g cm⁻³

Cell: 6.631 6.631 6.631 Å, 60.00 60.00 60.00°
Fractional coordinates of all 6 atoms:
Ca: 0.000 0.000 0.000
Ca: 0.000 0.000 0.500
Ca: 0.000 0.500 0.000
Ca: 0.500 0.000 0.000
Ag: 0.375 0.375 0.375
Ag: 0.625 0.625 0.625

=====

An optimized crystal structure of CaAg, computed with PBE.

Output
Space group   Imma
VASP energy   -2.65 eV per atom
ΔH_f (0 K)   -0.22 eV/atom
Calculated density   4.7 g cm⁻³

Cell: 3.777 5.036 10.985 Å, 90.00 90.00 90.00°
Fractional coordinates of all 8 atoms:
Ca: 0.000 0.250 0.106
Ca: 0.000 0.750 0.894
Ca: 0.500 0.250 0.394
Ca: 0.500 0.750 0.606
Ag: 0.000 0.250 0.651
Ag: 0.000 0.750 0.349
Ag: 0.500 0.250 0.849
Ag: 0.500 0.750 0.151

=====

An optimized crystal structure of CaAg, computed with PBE.

Output
Space group   P6_3/mmc
VASP energy   -2.66 eV per atom
ΔH_f (0 K)   -0.23 eV/atom
Calculated density   4.2 g cm⁻³

Cell: 9.086 9.086 4.877 Å, 90.00 90.00 120.00°
Fractional coordinates of all 12 atoms:
Ca: 0.189 0.378 0.250
Ca: 0.189 0.811 0.250
Ca: 0.378 0.189 0.750
Ca: 0.622 0.811 0.250
Ca: 0.811 0.189 0.750
Ca: 0.811 0.622 0.750
Ag: 0.118 0.559 0.750
Ag: 0.441 0.559 0.750
Ag: 0.441 0.882 0.750
Ag: 0.559 0.118 0.250
Ag: 0.559 0.441 0.250
Ag: 0.882 0.441 0.250